1.
Below is HoAgNO after structural relaxation, with properties calculated at the PBE level.

As for the space group: Pmc2_1 (26). As for the relative energy among the computed polymorphs: 0.1188 eV per atom.

a b c (Å): 3.788 5.518 6.170
angles (deg): 90.00 90.00 90.00
Atoms (fractional coordinates):
O 0.500 0.896 0.847
Ho 0.000 0.987 0.703
N 0.000 0.892 0.351
Ag 0.500 0.979 0.225
Ag 0.500 0.479 0.775
Ho 0.000 0.487 0.297
N 0.000 0.392 0.649
O 0.500 0.396 0.153

2.
Below is HoAgNO after structural relaxation, with properties calculated at the PBE level.

As for the space group: P4/nmm (129). As for the relative energy among the computed polymorphs: 0.1002 eV per atom.

a b c (Å): 3.837 3.837 7.640
angles (deg): 90.00 90.00 90.00
Atoms (fractional coordinates):
N 0.750 0.750 0.318
Ag 0.250 0.750 0.500
O 0.250 0.750 0.000
Ho 0.250 0.250 0.144
Ag 0.750 0.250 0.500
O 0.750 0.250 0.000
N 0.250 0.250 0.682
Ho 0.750 0.750 0.856

3.
Below is HoAgNO after structural relaxation, with properties calculated at the PBE level.

As for the space group: Pbcm (57). As for the relative energy among the computed polymorphs: 0.1310 eV per atom.

a b c (Å): 4.903 4.914 8.926
angles (deg): 90.00 90.00 90.00
Atoms (fractional coordinates):
N 0.051 0.500 0.124
Ho 0.051 0.500 0.860
N 0.051 0.000 0.876
O 0.550 0.501 0.383
N 0.551 0.500 0.876
Ho 0.551 0.000 0.860
Ho 0.551 0.500 0.140
N 0.551 0.000 0.124
O 0.050 0.999 0.383
Ag 0.550 0.501 0.629
Ho 0.051 0.000 0.140
O 0.050 0.499 0.617
Ag 0.050 0.499 0.371
Ag 0.550 0.001 0.371
O 0.550 0.001 0.617
Ag 0.050 0.999 0.629

4.
Below is HoAgNO after structural relaxation, with properties calculated at the PBE level.

As for the space group: Pmc2_1 (26). As for the relative energy among the computed polymorphs: 0.1530 eV per atom.

a b c (Å): 3.894 5.623 6.193
angles (deg): 90.00 90.00 90.00
Atoms (fractional coordinates):
O 0.500 0.376 0.137
Ho 0.500 0.499 0.813
N 0.000 0.880 0.324
O 0.500 0.876 0.863
Ho 0.500 0.999 0.187
Ag 0.000 0.500 0.349
Ag 0.000 0.000 0.651
N 0.000 0.380 0.676

5.
Below is HoAgNO after structural relaxation, with properties calculated at the PBE level.

As for the space group: P4/nmm (129). As for the relative energy among the computed polymorphs: 0.0008 eV per atom.

a b c (Å): 4.846 4.846 4.516
angles (deg): 90.00 90.00 90.00
Atoms (fractional coordinates):
O 0.250 0.750 0.000
Ag 0.250 0.250 0.998
Ho 0.250 0.750 0.500
O 0.750 0.250 0.000
Ho 0.750 0.250 0.500
Ag 0.750 0.750 0.002
N 0.250 0.250 0.498
N 0.750 0.750 0.502

6.
Below is HoAgNO after structural relaxation, with properties calculated at the PBE level.

As for the space group: P4/mmm (123). As for the relative energy among the computed polymorphs: 0.0000 eV per atom.

a b c (Å): 4.851 4.851 4.514
angles (deg): 90.00 90.00 90.00
Atoms (fractional coordinates):
O 0.750 0.250 0.000
Ag 0.750 0.750 0.000
N 0.750 0.750 0.500
N 0.250 0.250 0.500
Ho 0.750 0.250 0.500
O 0.250 0.750 0.000
Ag 0.250 0.250 0.000
Ho 0.250 0.750 0.500

7.
Below is NaHoAg after structural relaxation, with properties calculated at the PBE level.

As for the space group: F-43m (216).

a b c (Å): 4.919 4.919 4.919
angles (deg): 60.00 60.00 60.00
Atoms (fractional coordinates):
Na 0.750 0.750 0.750
Ag 0.000 0.000 0.000
Ho 0.250 0.250 0.250

8.
Below is NaHoAgTe3 after structural relaxation, with properties calculated at the PBE level.

As for the space group: Pnma (62).

a b c (Å): 11.312 4.191 14.970
angles (deg): 90.00 90.00 90.00
Atoms (fractional coordinates):
Te 0.571 0.250 0.897
Ag 0.264 0.250 0.717
Ag 0.236 0.750 0.217
Ho 0.982 0.250 0.254
Te 0.767 0.750 0.658
Ho 0.482 0.250 0.246
Ag 0.764 0.250 0.783
Na 0.773 0.750 0.981
Te 0.464 0.250 0.610
Te 0.929 0.750 0.397
Ho 0.518 0.750 0.754
Na 0.227 0.250 0.019
Te 0.536 0.750 0.390
Te 0.071 0.250 0.603
Na 0.727 0.250 0.481
Ho 0.018 0.750 0.746
Te 0.964 0.250 0.890
Na 0.273 0.750 0.519
Te 0.429 0.750 0.103
Te 0.733 0.250 0.158
Te 0.267 0.750 0.842
Te 0.036 0.750 0.110
Ag 0.736 0.750 0.283
Te 0.233 0.250 0.342

9.
Below is NaHoAgTe3 after structural relaxation, with properties calculated at the PBE level.

As for the space group: Cmcm (63).

a b c (Å): 7.862 7.862 11.196
angles (deg): 90.00 90.00 149.22
Atoms (fractional coordinates):
Te 0.406 0.594 0.750
Ag 0.030 0.970 0.750
Ag 0.970 0.030 0.250
Te 0.594 0.406 0.250
Ho 0.500 0.500 0.000
Na 0.270 0.730 0.250
Ho 0.500 0.500 0.500
Te 0.142 0.858 0.554
Te 0.142 0.858 0.946
Te 0.858 0.142 0.446
Na 0.730 0.270 0.750
Te 0.858 0.142 0.054

10.
Below is HoNbAg2O4 after structural relaxation, with properties calculated at the PBE level.

As for the space group: P-3m1 (164).

a b c (Å): 3.363 3.363 12.618
angles (deg): 90.00 90.00 120.00
Atoms (fractional coordinates):
O 0.667 0.333 0.924
O 0.333 0.667 0.412
Ag 0.667 0.333 0.754
O 0.667 0.333 0.588
Ho 0.000 0.000 0.500
Ag 0.333 0.667 0.246
Nb 0.000 0.000 0.000
O 0.333 0.667 0.076

11.
Below is NdHo4Ag5 after structural relaxation, with properties calculated at the PBE level.

As for the space group: P4/mmm (123). The value obtained for the calculated formation energy is -3.26 eV/f.u.

a b c (Å): 3.616 3.616 18.318
angles (deg): 90.00 90.00 90.00
Atoms (fractional coordinates):
Ho 0.000 0.000 0.598
Ag 0.500 0.500 0.500
Ho 0.000 0.000 0.402
Nd 0.000 0.000 0.000
Ag 0.500 0.500 0.110
Ag 0.500 0.500 0.303
Ho 0.000 0.000 0.205
Ag 0.500 0.500 0.890
Ho 0.000 0.000 0.795
Ag 0.500 0.500 0.697

12.
Below is NdHoAg6 after structural relaxation, with properties calculated at the PBE level.

As for the space group: Pmm2 (25). The value obtained for the calculated formation energy is -1.98 eV/f.u.

a b c (Å): 5.057 6.268 5.217
angles (deg): 90.00 90.00 90.00
Atoms (fractional coordinates):
Nd 0.500 0.500 0.157
Ag 0.000 0.754 0.342
Ho 0.000 0.000 0.848
Ag 0.500 0.235 0.663
Ag 0.000 0.500 0.806
Ag 0.000 0.246 0.342
Ag 0.500 0.000 0.180
Ag 0.500 0.765 0.663

Energy across the listed records, respectively: -6.15 -6.16 -6.13 -6.11 -6.26 -6.26 -2.76 -3.85 -3.85 -6.74 -4.05 -3.53 eV/atom.